{
  "formula": "Ba3Rh",
  "functional": "PBE-GGA",
  "state": "optimized geometry",
  "ef_mev_per_atom": 64,
  "cell": [[4.120, 0.000, 0.000], [0.000, 4.142, 0.000], [0.000, 0.000, 11.327]],
  "species": ["Ba", "Ba", "Ba", "Rh"],
  "frac_coords": [[0.000, 0.000, 0.000], [0.000, 0.500, 0.359], [0.500, 0.500, 0.670], [0.500, 0.000, 0.484]]
}

---

{
  "formula": "DyNiTe",
  "functional": "PBE-GGA",
  "state": "optimized geometry",
  "e_form_raw_kj_per_mol_atoms": -81.3,
  "cell": [[4.250, 0.000, 0.000], [-2.125, 3.680, 0.000], [0.000, 0.000, 4.044]],
  "species": ["Dy", "Ni", "Te"],
  "frac_coords": [[0.000, 0.000, 0.000], [0.333, 0.667, 0.512], [0.667, 0.333, 0.499]]
}

---

{
  "formula": "RbY3Sn",
  "functional": "PBE-GGA",
  "state": "optimized geometry",
  "ef_mev_per_atom": 294,
  "e_above_lowest_polymorph_mev_per_atom": 0,
  "cell": [[5.951, 0.000, 0.000], [0.000, 5.951, 0.000], [0.000, 0.000, 5.951]],
  "species": ["Rb", "Y", "Y", "Y", "Sn"],
  "frac_coords": [[0.000, 0.000, 0.000], [0.000, 0.500, 0.500], [0.500, 0.000, 0.500], [0.500, 0.500, 0.000], [0.500, 0.500, 0.500]]
}

---

{
  "formula": "Ac2AgBiSe5",
  "functional": "PBE-GGA",
  "state": "optimized geometry",
  "e_form_raw_kj_per_mol_atoms": -119.6,
  "cell": [[2.171, -9.139, 0.000], [2.171, 9.139, 0.000], [0.000, 0.000, 12.864]],
  "species": ["Ac", "Ac", "Ac", "Ac", "Ag", "Ag", "Bi", "Bi", "Se", "Se", "Se", "Se", "Se", "Se", "Se", "Se", "Se", "Se"],
  "frac_coords": [[0.112, 0.888, 0.500], [0.122, 0.878, 0.119], [0.878, 0.122, 0.619], [0.888, 0.112, 0.000], [0.486, 0.514, 0.292], [0.514, 0.486, 0.792], [0.193, 0.807, 0.817], [0.807, 0.193, 0.317], [0.047, 0.953, 0.891], [0.288, 0.712, 0.476], [0.300, 0.700, 0.153], [0.356, 0.644, 0.814], [0.498, 0.502, 0.092], [0.502, 0.498, 0.592], [0.644, 0.356, 0.314], [0.700, 0.300, 0.653], [0.712, 0.288, 0.976], [0.953, 0.047, 0.391]]
}

---

What did the fourth record say?
{
  "formula": "Ac2AgBiSe5",
  "functional": "PBE-GGA",
  "state": "optimized geometry",
  "e_form_raw_kj_per_mol_atoms": -119.6,
  "cell": [[2.171, -9.139, 0.000], [2.171, 9.139, 0.000], [0.000, 0.000, 12.864]],
  "species": ["Ac", "Ac", "Ac", "Ac", "Ag", "Ag", "Bi", "Bi", "Se", "Se", "Se", "Se", "Se", "Se", "Se", "Se", "Se", "Se"],
  "frac_coords": [[0.112, 0.888, 0.500], [0.122, 0.878, 0.119], [0.878, 0.122, 0.619], [0.888, 0.112, 0.000], [0.486, 0.514, 0.292], [0.514, 0.486, 0.792], [0.193, 0.807, 0.817], [0.807, 0.193, 0.317], [0.047, 0.953, 0.891], [0.288, 0.712, 0.476], [0.300, 0.700, 0.153], [0.356, 0.644, 0.814], [0.498, 0.502, 0.092], [0.502, 0.498, 0.592], [0.644, 0.356, 0.314], [0.700, 0.300, 0.653], [0.712, 0.288, 0.976], [0.953, 0.047, 0.391]]
}